# 1
# In2HgCl2

Crystalline In2HgCl2 at its relaxed geometry (PBE, Alexandria).

- energy relative to the elements, uncorrected (eV/atom) = -0.614
- excess energy over the best structure of this formula in the dataset (meV/atom) = 23
- magnetization (μB per cell) = 0.00

Unit cell a=8.4568 b=8.4568 c=4.2011 alpha=90.00 beta=90.00 gamma=90.00
Closest atoms and distances in Å follow each position.
Space group P4/mbm (No. 127)
Symmetry-distinct sites (fractional):
In  0.1485  0.3515  0.0000 (multiplicity 4)  2 Cl 3.03, 2 Hg 3.23
Hg  0.0000  0.0000  0.0000 (multiplicity 2)  4 In 3.23
Cl  0.1684  0.6684  0.5000 (multiplicity 4)  2 In 3.03

***

# 2
# InHgCl2

Crystalline InHgCl2 at its relaxed geometry (PBE, Alexandria).

- energy relative to the elements, uncorrected (eV/atom) = -0.324
- excess energy over the best structure of this formula in the dataset (meV/atom) = 320
- magnetization (μB per cell) = 0.00

Unit cell a=3.8604 b=3.8604 c=28.1842 alpha=90.00 beta=90.00 gamma=120.00
Closest atoms and distances in Å follow each position.
Space group R-3m (No. 166, hexagonal axes)
Symmetry-distinct sites (fractional):
In  0.0000  0.0000  0.0000 (multiplicity 3)  2 Cl 2.98
Hg  0.0000  0.0000  0.5000 (multiplicity 3)  6 Cl 2.81
Cl  0.0000  0.0000  0.1058 (multiplicity 6)  3 Hg 2.81, 1 In 2.98

***

# 3
# In3Hg2Cl8

Crystalline In3Hg2Cl8 at its relaxed geometry (PBE, Alexandria).

- energy relative to the elements, uncorrected (eV/atom) = -0.810
- magnetization (μB per cell) = 0.00

Unit cell a=20.2546 b=8.1671 c=6.5464 alpha=90.00 beta=106.69 gamma=90.00
Closest atoms and distances in Å follow each position.
Space group C2/m (No. 12)
Symmetry-distinct sites (fractional):
In  0.0000  0.0000  0.0000 (multiplicity 2)  6 Cl 2.54-2.60
In  0.0000  0.2654  0.5000 (multiplicity 4)  6 Cl 2.59-2.84
Hg  0.2429  0.5000  0.4445 (multiplicity 4)  6 Cl 4.02-4.19, 2 Hg 4.14
Cl  0.0734  0.2206  0.2316 (multiplicity 8)  2 In 2.54-2.63
Cl  0.0750  0.0000  0.7369 (multiplicity 4)  3 In 2.60-2.84
Cl  0.0770  0.5000  0.7039 (multiplicity 4)  2 In 2.59

***

# 4
# In2HgCl4

Crystalline In2HgCl4 at its relaxed geometry (PBE, Alexandria).

- energy relative to the elements, uncorrected (eV/atom) = -0.678
- magnetization (μB per cell) = 0.00

Unit cell a=5.4961 b=5.4961 c=14.9827 alpha=90.00 beta=90.00 gamma=90.00
Closest atoms and distances in Å follow each position.
Space group I4/mmm (No. 139)
Symmetry-distinct sites (fractional):
In  0.0000  0.0000  0.1328 (multiplicity 4)  1 Cl 2.92
Hg  0.0000  0.0000  0.5000 (multiplicity 2)  6 Cl 2.58-2.75
Cl  0.0000  0.0000  0.3277 (multiplicity 4)  1 Hg 2.58
Cl  0.0000  0.5000  0.0000 (multiplicity 4)  2 Hg 2.75